[1]
VASP calculation (GGA-PBE) on a geometry-optimized Sc2CuOs structure.

a b c (Å): 3.2352 3.2352 6.5648
angles (deg): 90.00 90.00 90.00
With the nearest neighbours (Å) after each atom.
Sites, in units of the cell vectors:
Sc 0.0000 0.0000 0.2378  4 Os 2.77, 4 Cu 2.86
Sc 0.0000 0.0000 0.7622  4 Os 2.77, 4 Cu 2.86
Cu 0.5000 0.5000 0.5000  8 Sc 2.86
Os 0.5000 0.5000 0.0000  8 Sc 2.77

Values from the calculation:
The density is 8.31 Mg/m³. For the energy above the most stable polymorph in this dataset, the calculation gives 13.5 meV/atom. As for the crystal system: tetragonal. The formation enthalpy at 0 K is -0.396 eV/atom. As for the magnetic moment: 0.0 μB per formula unit.

---

[2]
VASP calculation (GGA-PBE) on a geometry-optimized TiP2IrO structure.

a b c (Å): 4.8089 4.8089 3.5484
angles (deg): 90.00 90.00 90.00
With the nearest neighbours (Å) after each atom.
Sites, in units of the cell vectors:
Ti 0.0000 0.0000 0.0000  2 O 1.77
P 0.0000 0.5000 0.0000  2 Ti 2.40
P 0.5000 0.0000 0.0000  2 Ti 2.40
Ir 0.5000 0.5000 0.5000  8 P 2.99
O 0.0000 0.0000 0.5000  2 Ti 1.77

Values from the calculation:
The density is 6.44 Mg/m³. For the energy above the most stable polymorph in this dataset, the calculation gives 0.0 meV/atom. As for the crystal system: tetragonal. As for the uncorrected formation energy: -0.2 eV per formula unit. As for the magnetic moment: 0.0 μB per formula unit.

---

[3]
VASP calculation (GGA-PBE) on a geometry-optimized TbPm3Er6Tm2 structure.

a b c (Å): 6.1394 6.1394 11.7118
angles (deg): 95.00 95.00 119.96
With the nearest neighbours (Å) after each atom.
Sites, in units of the cell vectors:
Tb 0.0000 0.0000 0.0000  6 Er 3.50, 6 Tm 3.54-3.55
Pm 0.1668 0.8332 0.5000  6 Pm 3.54-3.55, 6 Er 3.57
Pm 0.5000 0.5000 0.5000  6 Pm 3.54-3.55, 6 Er 3.57
Pm 0.8332 0.1668 0.5000  6 Pm 3.54-3.55, 6 Er 3.57
Er 0.0824 0.4160 0.2465  2 Tm 3.50, 1 Tb 3.50, 6 Er 3.54-3.55, 3 Pm 3.57
Er 0.2513 0.2513 0.7535  1 Tb 3.50, 2 Tm 3.50, 6 Er 3.54-3.55, 3 Pm 3.57
Er 0.4160 0.0824 0.2465  2 Tm 3.50, 1 Tb 3.50, 6 Er 3.54-3.55, 3 Pm 3.57
Er 0.5840 0.9176 0.7535  2 Tm 3.50, 1 Tb 3.50, 6 Er 3.54-3.55, 3 Pm 3.57
Er 0.7487 0.7487 0.2465  1 Tb 3.50, 2 Tm 3.50, 6 Er 3.54-3.55, 3 Pm 3.57
Er 0.9176 0.5840 0.7535  2 Tm 3.50, 1 Tb 3.50, 6 Er 3.54-3.55, 3 Pm 3.57
Tm 0.3333 0.6667 0.0000  6 Er 3.50, 3 Tb 3.54-3.55, 3 Tm 3.55
Tm 0.6667 0.3333 0.0000  6 Er 3.50, 3 Tb 3.54-3.55, 3 Tm 3.55

Values from the calculation:
The density is 8.53 Mg/m³. As for the crystal system: monoclinic. The formation enthalpy at 0 K is 0.021 eV/atom. As for the magnetic moment: 0.0 μB per formula unit.

---

[4]
VASP calculation (GGA-PBE) on a geometry-optimized LaGeRh3 structure.

a b c (Å): 4.9047 4.9047 4.9047
angles (deg): 90.00 90.00 90.00
With the nearest neighbours (Å) after each atom.
Sites, in units of the cell vectors:
La 0.0000 0.0000 0.0000  6 Rh 2.45
Ge 0.5000 0.5000 0.5000  12 Rh 3.47
Rh 0.0000 0.0000 0.5000  2 La 2.45
Rh 0.0000 0.5000 0.0000  2 La 2.45
Rh 0.5000 0.0000 0.0000  2 La 2.45

Values from the calculation:
The density is 7.32 Mg/m³. For the energy above the most stable polymorph in this dataset, the calculation gives 1620.4 meV/atom. As for the crystal system: cubic. The formation enthalpy at 0 K is 1.011 eV/atom. As for the magnetic moment: 0.0 μB per formula unit.